No. 1
Entry from OQMD via LeMat-Bulk: a relaxed structure of ZnSiGe (GGA-PBE).

Cell: 6.126 6.126 6.126 Å, 90.00 90.00 90.00°
Space group F-43m (No. 216)
Inequivalent atoms, fractional coordinates:
Zn 0.000 0.000 0.000 x4
Si 0.250 0.250 0.750 x4
Ge 0.000 0.000 0.500 x4

Properties
For the total DFT energy (no corrections), the calculation gives -3.49 eV per atom. The value obtained for the calculated volume is 19.2 Å³/atom.

=====

No. 2
Entry from OQMD via LeMat-Bulk: a relaxed structure of ZnSi2Ge (GGA-PBE).

Cell: 6.398 6.398 6.398 Å, 90.00 90.00 90.00°
Space group F-43m (No. 216)
Inequivalent atoms, fractional coordinates:
Zn 0.000 0.000 0.000 x4
Si 0.000 0.000 0.500 x4
Si 0.250 0.250 0.250 x4
Ge 0.250 0.250 0.750 x4

Properties
For the total DFT energy (no corrections), the calculation gives -3.73 eV per atom. The value obtained for the calculated volume is 16.4 Å³/atom.

=====

No. 3
Entry from OQMD via LeMat-Bulk: a relaxed structure of Zr4SiGe3 (GGA-PBE).

Cell: 5.400 3.902 7.099 Å, 90.00 90.18 90.00°
Space group Pm (No. 6)
Inequivalent atoms, fractional coordinates:
Zr 0.000 0.000 0.000 x1
Zr 0.235 0.000 0.511 x1
Zr 0.492 0.500 0.858 x1
Zr 0.735 0.500 0.363 x1
Si 0.013 0.500 0.728 x1
Ge 0.212 0.500 0.231 x1
Ge 0.522 0.000 0.136 x1
Ge 0.721 0.000 0.640 x1

Properties
For the total DFT energy (no corrections), the calculation gives -7.52 eV per atom. The value obtained for the calculated volume is 18.7 Å³/atom.

=====

No. 4
Entry from OQMD via LeMat-Bulk: a relaxed structure of ZrSiGe2 (GGA-PBE).

Cell: 6.695 6.695 6.695 Å, 90.00 90.00 90.00°
Space group F-43m (No. 216)
Inequivalent atoms, fractional coordinates:
Zr 0.000 0.000 0.000 x4
Si 0.250 0.250 0.750 x4
Ge 0.000 0.000 0.500 x4
Ge 0.250 0.250 0.250 x4

Properties
For the total DFT energy (no corrections), the calculation gives -5.63 eV per atom. The value obtained for the calculated volume is 18.8 Å³/atom.

=====

No. 5
Entry from OQMD via LeMat-Bulk: a relaxed structure of Zr3Si4Ge4 (GGA-PBE).

Cell: 3.620 7.432 14.530 Å, 90.00 90.00 90.00°
Space group Immm (No. 71)
Inequivalent atoms, fractional coordinates:
Zr 0.000 0.000 0.000 x2
Zr 0.000 0.500 0.127 x4
Si 0.000 0.293 0.343 x8
Ge 0.000 0.000 0.216 x4
Ge 0.000 0.183 0.500 x4

Properties
For the total DFT energy (no corrections), the calculation gives -6.02 eV per atom. The value obtained for the calculated volume is 17.8 Å³/atom.

=====

No. 6
Entry from OQMD via LeMat-Bulk: a relaxed structure of Zr6SiGe2 (GGA-PBE).

Cell: 7.4419 7.4419 3.8006 Å, 90.00 90.00 120.00°
Space group P-62m (No. 189)
Inequivalent atoms, fractional coordinates:
Zr 0.0000 0.2543 0.0000 x3
Zr 0.0000 0.5986 0.5000 x3
Si 0.0000 0.0000 0.5000 x1
Ge 0.3333 0.6667 0.0000 x2

Properties
For the total DFT energy (no corrections), the calculation gives -8.06 eV per atom. The value obtained for the calculated volume is 20.3 Å³/atom.

=====

No. 7
Entry from OQMD via LeMat-Bulk: a relaxed structure of SmGe (GGA-PBE).

Cell: 4.414 10.969 4.026 Å, 90.00 90.00 90.00°
Space group Cmcm (No. 63)
Inequivalent atoms, fractional coordinates:
Sm 0.000 0.138 0.250 x4
Ge 0.000 0.417 0.250 x4

Properties
For the total DFT energy (no corrections), the calculation gives -5.54 eV per atom. The value obtained for the calculated volume is 24.4 Å³/atom.

=====

No. 8
Entry from OQMD via LeMat-Bulk: a relaxed structure of SmGe2 (GGA-PBE).

Cell: 8.042 8.042 8.042 Å, 90.00 90.00 90.00°
Space group Fd-3m (No. 227, origin choice 2)
Inequivalent atoms, fractional coordinates:
Sm 0.125 0.125 0.125 x8
Ge 0.000 0.000 0.500 x16

Properties
For the total DFT energy (no corrections), the calculation gives -5.02 eV per atom. The value obtained for the calculated volume is 21.7 Å³/atom.

=====

No. 9
Entry from OQMD via LeMat-Bulk: a relaxed structure of SmGe2 (GGA-PBE).

Cell: 4.048 15.885 4.184 Å, 90.00 90.00 90.00°
Space group Cmmm (No. 65)
Inequivalent atoms, fractional coordinates:
Sm 0.000 0.141 0.000 x4
Ge 0.000 0.000 0.500 x2
Ge 0.000 0.302 0.500 x4
Ge 0.000 0.500 0.000 x2

Properties
For the total DFT energy (no corrections), the calculation gives -5.26 eV per atom. The value obtained for the calculated volume is 22.4 Å³/atom.

=====

No. 10
Entry from OQMD via LeMat-Bulk: a relaxed structure of Sm4Ge7 (GGA-PBE).

Cell: 5.947 13.912 11.902 Å, 90.00 90.00 90.00°
Space group C222_1 (No. 20)
Inequivalent atoms, fractional coordinates:
Sm 0.000 0.004 0.250 x4
Sm 0.013 0.500 0.000 x4
Sm 0.237 0.255 0.620 x8
Ge 0.000 0.439 0.750 x4
Ge 0.018 0.089 0.989 x8
Ge 0.173 0.353 0.337 x8
Ge 0.247 0.327 0.872 x8

Properties
For the total DFT energy (no corrections), the calculation gives -5.37 eV per atom. The value obtained for the calculated volume is 22.4 Å³/atom.

=====

No. 11
Entry from OQMD via LeMat-Bulk: a relaxed structure of Sm3Ge7 (GGA-PBE).

Cell: 4.178 24.170 4.291 Å, 90.00 90.00 90.00°
Space group Cmmm (No. 65)
Inequivalent atoms, fractional coordinates:
Sm 0.000 0.000 0.000 x2
Sm 0.000 0.184 0.000 x4
Ge 0.000 0.094 0.500 x4
Ge 0.000 0.287 0.500 x4
Ge 0.000 0.406 0.000 x4
Ge 0.000 0.500 0.500 x2

Properties
For the total DFT energy (no corrections), the calculation gives -5.19 eV per atom. The value obtained for the calculated volume is 21.7 Å³/atom.

=====

No. 12
Entry from OQMD via LeMat-Bulk: a relaxed structure of SmGe2 (GGA-PBE).

Cell: 4.097 4.097 16.278 Å, 90.00 90.00 90.00°
Space group I4_1/amd (No. 141, origin choice 2)
Inequivalent atoms, fractional coordinates:
Sm 0.000 0.250 0.375 x4
Ge 0.000 0.250 0.796 x8

Properties
For the total DFT energy (no corrections), the calculation gives -5.24 eV per atom. The value obtained for the calculated volume is 22.8 Å³/atom.

=====

No. 13
Entry from OQMD via LeMat-Bulk: a relaxed structure of SmGe2 (GGA-PBE).

Cell: 13.269 13.269 13.269 Å, 90.00 90.00 90.00°
Space group Fd-3m (No. 227, origin choice 2)
Inequivalent atoms, fractional coordinates:
Sm 0.125 0.125 0.125 x8
Ge 0.000 0.000 0.000 x16

Properties
For the total DFT energy (no corrections), the calculation gives -3.27 eV per atom. The value obtained for the calculated volume is 97.3 Å³/atom.

=====

No. 14
Entry from OQMD via LeMat-Bulk: a relaxed structure of Sm2Ge (GGA-PBE).

Cell: 8.748 8.748 8.748 Å, 90.00 90.00 90.00°
Space group Fd-3m (No. 227, origin choice 2)
Inequivalent atoms, fractional coordinates:
Sm 0.000 0.000 0.000 x16
Ge 0.125 0.125 0.625 x8

Properties
For the total DFT energy (no corrections), the calculation gives -4.42 eV per atom. The value obtained for the calculated volume is 27.9 Å³/atom.

=====

No. 15
Entry from OQMD via LeMat-Bulk: a relaxed structure of Sm2Ge (GGA-PBE).

Cell: 8.1200 8.1200 4.2606 Å, 90.00 90.00 120.00°
Space group P-62m (No. 189)
Inequivalent atoms, fractional coordinates:
Sm 0.0000 0.4067 0.0000 x3
Sm 0.0000 0.7330 0.5000 x3
Ge 0.0000 0.0000 0.0000 x1
Ge 0.3333 0.6667 0.5000 x2

Properties
For the total DFT energy (no corrections), the calculation gives -5.29 eV per atom. The value obtained for the calculated volume is 27.0 Å³/atom.

=====

No. 16
Entry from OQMD via LeMat-Bulk: a relaxed structure of SmGe (GGA-PBE).

Cell: 3.8363 3.8363 4.2138 Å, 90.00 90.00 120.00°
Space group P-6m2 (No. 187)
Inequivalent atoms, fractional coordinates:
Sm 0.0000 0.0000 0.0000 x1
Ge 0.3333 0.6667 0.5000 x1

Properties
For the total DFT energy (no corrections), the calculation gives -5.11 eV per atom. The value obtained for the calculated volume is 26.9 Å³/atom.

=====

No. 17
Entry from OQMD via LeMat-Bulk: a relaxed structure of Sm2Ge (GGA-PBE).

Cell: 12.737 12.737 12.737 Å, 90.00 90.00 90.00°
Space group Fd-3m (No. 227, origin choice 2)
Inequivalent atoms, fractional coordinates:
Sm 0.000 0.000 0.000 x16
Ge 0.125 0.125 0.125 x8

Properties
For the total DFT energy (no corrections), the calculation gives -3.71 eV per atom. The value obtained for the calculated volume is 86.1 Å³/atom.

=====

No. 18
Entry from OQMD via LeMat-Bulk: a relaxed structure of Sm4Ge3 (GGA-PBE).

Cell: 9.051 9.051 9.051 Å, 90.00 90.00 90.00°
Space group I-43d (No. 220)
Inequivalent atoms, fractional coordinates:
Sm 0.065 0.435 0.565 x16
Ge 0.000 0.250 0.875 x12

Properties
For the total DFT energy (no corrections), the calculation gives -5.51 eV per atom. The value obtained for the calculated volume is 26.5 Å³/atom.

=====

No. 19
Entry from OQMD via LeMat-Bulk: a relaxed structure of SmGe (GGA-PBE).

Cell: 6.630 6.630 6.630 Å, 90.00 90.00 90.00°
Space group F-43m (No. 216)
Inequivalent atoms, fractional coordinates:
Sm 0.000 0.000 0.000 x4
Ge 0.250 0.250 0.250 x4

Properties
For the total DFT energy (no corrections), the calculation gives -4.60 eV per atom. The value obtained for the calculated volume is 36.4 Å³/atom.

=====

No. 20
Entry from OQMD via LeMat-Bulk: a relaxed structure of SmSnGe (GGA-PBE).

Cell: 7.111 7.111 7.111 Å, 90.00 90.00 90.00°
Space group F-43m (No. 216)
Inequivalent atoms, fractional coordinates:
Sm 0.000 0.000 0.000 x4
Sn 0.250 0.250 0.250 x4
Ge 0.250 0.250 0.750 x4

Properties
For the total DFT energy (no corrections), the calculation gives -4.55 eV per atom. The value obtained for the calculated volume is 30.0 Å³/atom.

=====

No. 21
Entry from OQMD via LeMat-Bulk: a relaxed structure of SmSnGe (GGA-PBE).

Cell: 6.968 6.968 6.968 Å, 90.00 90.00 90.00°
Space group F-43m (No. 216)
Inequivalent atoms, fractional coordinates:
Sm 0.000 0.000 0.000 x4
Sn 0.000 0.000 0.500 x4
Ge 0.250 0.250 0.250 x4

Properties
For the total DFT energy (no corrections), the calculation gives -4.71 eV per atom. The value obtained for the calculated volume is 28.2 Å³/atom.

=====

No. 22
Entry from OQMD via LeMat-Bulk: a relaxed structure of TbSm2Ge7 (GGA-PBE).

Cell: 4.001 25.915 4.136 Å, 90.00 90.00 90.00°
Space group Cmmm (No. 65)
Inequivalent atoms, fractional coordinates:
Tb 0.000 0.000 0.000 x2
Sm 0.000 0.317 0.500 x4
Ge 0.000 0.090 0.500 x4
Ge 0.000 0.219 0.000 x4
Ge 0.000 0.408 0.000 x4
Ge 0.000 0.500 0.500 x2

Properties
For the total DFT energy (no corrections), the calculation gives -5.19 eV per atom. The value obtained for the calculated volume is 21.4 Å³/atom.

=====

No. 23
Entry from OQMD via LeMat-Bulk: a relaxed structure of TbSmGe (GGA-PBE).

Cell: 7.114 7.114 7.114 Å, 90.00 90.00 90.00°
Space group F-43m (No. 216)
Inequivalent atoms, fractional coordinates:
Tb 0.000 0.000 0.000 x4
Sm 0.250 0.250 0.750 x4
Ge 0.000 0.000 0.500 x4

Properties
The value obtained for the calculated volume is 30.0 Å³/atom. For the energy above the most stable polymorph in this dataset, the calculation gives 945.2 meV per atom.

=====

No. 24
Entry from OQMD via LeMat-Bulk: a relaxed structure of TbSmGe (GGA-PBE).

Cell: 4.437 4.437 16.260 Å, 90.00 90.00 90.00°
Space group I4/mmm (No. 139)
Inequivalent atoms, fractional coordinates:
Tb 0.000 0.000 0.182 x4
Sm 0.000 0.500 0.000 x4
Ge 0.000 0.000 0.362 x4

Properties
The value obtained for the calculated volume is 26.7 Å³/atom. For the energy above the most stable polymorph in this dataset, the calculation gives 0.0 meV per atom.

=====

No. 25
Entry from OQMD via LeMat-Bulk: a relaxed structure of TbSmGe (GGA-PBE).

Cell: 5.2166 5.2166 6.4136 Å, 90.00 90.00 120.00°
Space group P6_3/mmc (No. 194)
Inequivalent atoms, fractional coordinates:
Tb 0.3333 0.6667 0.2500 x2
Sm 0.0000 0.0000 0.0000 x2
Ge 0.3333 0.6667 0.7500 x2

Properties
The value obtained for the calculated volume is 25.2 Å³/atom. For the energy above the most stable polymorph in this dataset, the calculation gives 67.8 meV per atom.

=====

No. 26
Entry from OQMD via LeMat-Bulk: a relaxed structure of Tb2SmGe7 (GGA-PBE).

Cell: 4.013 25.352 4.151 Å, 90.00 90.00 90.00°
Space group Cmmm (No. 65)
Inequivalent atoms, fractional coordinates:
Tb 0.000 0.186 0.000 x4
Sm 0.000 0.500 0.500 x2
Ge 0.000 0.000 0.000 x2
Ge 0.000 0.096 0.500 x4
Ge 0.000 0.283 0.500 x4
Ge 0.000 0.406 0.000 x4

Properties
For the total DFT energy (no corrections), the calculation gives -5.17 eV per atom. The value obtained for the calculated volume is 21.1 Å³/atom.